[1]
Compound: Ta2AlPt
Source: Alexandria
Functional: PBE
Structure: relaxed

Values from the calculation:
**Formation energy**: -0.452 eV/atom
**Crystal system**: monoclinic
**D(E_F)**: 0.82 states/eV per atom
**V**: 66.3 Å³/cell

abc: 2.8605 4.1550 5.5801
angles: 90.00 90.33 90.00
Space group P2/m (No. 10)
Symmetry-distinct sites (fractional):
Ta  0.0021  0.0000  0.2540 (multiplicity 2)
Al  0.5000  0.5000  0.5000 (multiplicity 1)
Pt  0.5000  0.5000  0.0000 (multiplicity 1)

[2]
Compound: LaY2Co
Source: Alexandria
Functional: PBE
Structure: relaxed

Values from the calculation:
**E above lowest polymorph**: 0.357 eV per formula unit
**Formation energy**: -0.055 eV/atom
**Crystal system**: tetragonal
**D(E_F)**: 1.01 states/eV per atom
**V**: 108.0 Å³/cell

abc: 3.4373 3.4373 9.1396
angles: 90.00 90.00 90.00
Space group P4/mmm (No. 123)
Symmetry-distinct sites (fractional):
La  0.0000  0.0000  0.0000 (multiplicity 1)
Y  0.5000  0.5000  0.3237 (multiplicity 2)
Co  0.0000  0.0000  0.5000 (multiplicity 1)

[3]
Compound: Nd2GaAg6
Source: Alexandria
Functional: PBE
Structure: relaxed

Values from the calculation:
**Formation energy**: -0.208 eV/atom
**Crystal system**: monoclinic
**D(E_F)**: 0.69 states/eV per atom
**V**: 388.1 Å³/cell

abc: 10.5261 6.0678 6.0768
angles: 90.00 90.09 90.00
Space group C2/m (No. 12)
Symmetry-distinct sites (fractional):
Nd  0.1666  0.0000  0.1502 (multiplicity 4)
Ga  0.0000  0.5000  0.0000 (multiplicity 2)
Ag  0.0883  0.2350  0.6756 (multiplicity 8)
Ag  0.1772  0.5000  0.3250 (multiplicity 4)

[4]
Compound: Nd3TlCd
Source: Alexandria
Functional: PBE
Structure: relaxed

Values from the calculation:
**Formation energy**: -0.262 eV/atom
**Crystal system**: orthorhombic
**D(E_F)**: 1.20 states/eV per atom
**V**: 613.9 Å³/cell

abc: 5.4293 20.8379 5.4259
angles: 90.00 90.00 90.00
Space group Cmcm (No. 63)
Symmetry-distinct sites (fractional):
Nd  0.0000  0.0592  0.2500 (multiplicity 4)
Nd  0.0000  0.2501  0.2500 (multiplicity 4)
Nd  0.0000  0.4402  0.2500 (multiplicity 4)
Tl  0.0000  0.3462  0.7500 (multiplicity 4)
Cd  0.0000  0.1527  0.7500 (multiplicity 4)

[5]
Compound: V4FeB
Source: Alexandria
Functional: PBE
Structure: relaxed

Values from the calculation:
**Formation energy**: -0.126 eV/atom
**Crystal system**: tetragonal
**D(E_F)**: 0.83 states/eV per atom
**V**: 284.7 Å³/cell

abc: 5.6152 5.6152 9.0297
angles: 90.00 90.00 90.00
Space group I4/mcm (No. 140)
Symmetry-distinct sites (fractional):
V  0.1690  0.3310  0.1400 (multiplicity 16)
Fe  0.0000  0.0000  0.0000 (multiplicity 4)
B  0.0000  0.0000  0.2500 (multiplicity 4)

[6]
Compound: BaSb2
Source: Alexandria
Functional: PBE
Structure: relaxed

Values from the calculation:
**Formation energy without anion corrections**: -0.5851 eV/atom
**Crystal system**: monoclinic
**D(E_F)**: 0.52 states/eV per atom
**V**: 425.0 Å³/cell

abc: 11.7623 5.4768 6.9364
angles: 90.00 107.97 90.00
Space group Cm (No. 8)
Symmetry-distinct sites (fractional):
Ba  0.0000  0.0000  0.0000 (multiplicity 2)
Ba  0.2446  0.5000  0.3637 (multiplicity 2)
Sb  0.1104  0.0000  0.5890 (multiplicity 2)
Sb  0.1687  0.5000  0.8145 (multiplicity 2)
Sb  0.3769  0.0000  0.2085 (multiplicity 2)
Sb  0.3902  0.0000  0.6415 (multiplicity 2)

- D(E_F) of number 6 (BaSb2)?
  0.52 states/eV per atom

- Number 4 is which compound?
  Nd3TlCd